This record from the Alexandria database describes an optimized crystal structure of CeTmLuCd. The functional is PBE.

- Density: 8914 kg/m³
- Formation energy: 7 meV/atom
- SG: F-43m

abc: 5.396 5.396 5.396
angles: 60.00 60.00 60.00
Atoms (fractional coordinates):
Lu  0.250  0.250  0.250
Tm  0.000  0.000  0.000
Ce  0.500  0.500  0.500
Cd  0.750  0.750  0.750

---

This record from the Alexandria database describes an optimized crystal structure of CeLuZnCd. The functional is PBE.

- Density: 8264 kg/m³
- Formation energy: -206 meV/atom
- SG: F-43m

abc: 5.193 5.193 5.193
angles: 60.00 60.00 60.00
Atoms (fractional coordinates):
Zn  0.250  0.250  0.250
Lu  0.500  0.500  0.500
Ce  0.000  0.000  0.000
Cd  0.750  0.750  0.750

---

This record from the Alexandria database describes an optimized crystal structure of CeMg2Cd2. The functional is PBE.

- Density: 4066 kg/m³
- Formation energy: 562 meV/atom
- Polymorph energy (0 for the lowest one): 683 meV/atom
- SG: I4/mmm

abc: 3.914 3.914 11.369
angles: 99.91 99.91 90.00
Atoms (fractional coordinates):
Ce  0.000  0.000  0.000
Mg  0.750  0.250  0.500
Mg  0.250  0.750  0.500
Cd  0.144  0.144  0.288
Cd  0.856  0.856  0.712